Record 1
Computed, not measured: an optimized crystal structure of TaPb2O at the PBE level of DFT.

abc: 6.8750 6.8750 7.2129
angles: 90.00 90.00 90.00
Last column: nearest neighbours and their distance in Å.
Atoms (fractional coordinates):
Ta1 0.0000 0.0000 0.0000  4 Pb 2.91
Ta2 0.0000 0.5000 0.2500  4 Pb 2.91
Ta3 0.5000 0.0000 0.7500  4 Pb 2.91
Ta4 0.5000 0.5000 0.5000  4 Pb 2.91
Pb1 0.1856 0.2500 0.6250  2 O 2.32
Pb2 0.2500 0.6856 0.8750  2 O 2.32
Pb3 0.2500 0.8144 0.3750  2 O 2.32
Pb4 0.3144 0.2500 0.1250  2 O 2.32
Pb5 0.6856 0.7500 0.1250  2 O 2.32
Pb6 0.7500 0.1856 0.3750  2 O 2.32
Pb7 0.7500 0.3144 0.8750  2 O 2.32
Pb8 0.8144 0.7500 0.6250  2 O 2.32
O1 0.0000 0.0000 0.5000  4 Pb 2.32
O2 0.0000 0.5000 0.7500  4 Pb 2.32
O3 0.5000 0.0000 0.2500  4 Pb 2.32
O4 0.5000 0.5000 0.0000  4 Pb 2.32

Properties
The raw formation energy is 0.46 eV per atom. As for the space group: I-42d (122).

Record 2
Computed, not measured: an optimized crystal structure of Y2Mg2Ru at the PBE level of DFT.

abc: 3.4443 3.4443 20.2265
angles: 90.00 90.00 90.00
Last column: nearest neighbours and their distance in Å.
Atoms (fractional coordinates):
Y1 0.0000 0.0000 0.0818  4 Ru 2.94
Y2 0.0000 0.0000 0.9182  4 Ru 2.94
Y3 0.5000 0.5000 0.4182  4 Ru 2.94
Y4 0.5000 0.5000 0.5818  4 Ru 2.94
Mg1 0.0000 0.0000 0.2965  8 Mg 3.08-3.44
Mg2 0.0000 0.0000 0.7035  8 Mg 3.08-3.44
Mg3 0.5000 0.5000 0.2035  8 Mg 3.08-3.44
Mg4 0.5000 0.5000 0.7965  8 Mg 3.08-3.44
Ru1 0.0000 0.0000 0.5000  8 Y 2.94
Ru2 0.5000 0.5000 0.0000  8 Y 2.94

Properties
As for the space group: I4/mmm (139). The polymorph energy (0 for the lowest one) is 0.00 eV per formula unit. The value obtained for the formation energy is -241 meV/atom.

Record 3
Computed, not measured: an optimized crystal structure of Sm4IrS2Br at the PBE level of DFT.

abc: 7.1955 3.9927 7.2682
angles: 90.00 108.24 90.00
Last column: nearest neighbours and their distance in Å.
Atoms (fractional coordinates):
Sm1 0.2281 0.0000 0.2223  3 S 2.76-2.97, 1 Ir 2.90, 2 Br 3.07
Sm2 0.2556 0.5000 0.7723  2 Ir 2.83, 3 S 2.83-3.00, 1 Br 3.03
Sm3 0.7444 0.5000 0.2277  2 Ir 2.83, 3 S 2.83-3.00, 1 Br 3.03
Sm4 0.7719 0.0000 0.7777  3 S 2.76-2.97, 1 Ir 2.90, 2 Br 3.07
Ir1 0.5000 0.0000 0.0000  6 Sm 2.83-2.90
S1 0.0000 0.0000 0.5000  6 Sm 2.97-3.00
S2 0.0000 0.5000 0.0000  6 Sm 2.76-2.83
Br1 0.5000 0.5000 0.5000  6 Sm 3.03-3.07

Properties
The raw formation energy is -1.45 eV per atom. As for the space group: P2/m (10).

Record 4
Computed, not measured: an optimized crystal structure of Cd5Si2Pd12 at the PBE level of DFT.

abc: 7.3540 7.3540 6.6708
angles: 94.78 94.78 63.12
Last column: nearest neighbours and their distance in Å.
Atoms (fractional coordinates):
Cd1 0.0000 0.0000 0.0000  6 Pd 2.68-2.78
Cd2 0.2468 0.2468 0.0862  10 Pd 2.82-2.92, 2 Cd 3.06-3.09
Cd3 0.3023 0.3023 0.5435  7 Pd 2.76-3.07, 1 Cd 3.06
Cd4 0.6977 0.6977 0.4565  7 Pd 2.76-3.07, 1 Cd 3.06
Cd5 0.7532 0.7532 0.9138  10 Pd 2.82-2.92, 2 Cd 3.06-3.09
Si1 0.2504 0.7496 0.5000  6 Pd 2.41-2.43
Si2 0.7496 0.2504 0.5000  6 Pd 2.41-2.43
Pd1 0.0352 0.6620 0.2603  1 Si 2.41
Pd2 0.0909 0.0909 0.3804  2 Si 2.41, 1 Cd 2.68
Pd3 0.1933 0.5881 0.8787  3 Pd 2.70-2.92, 4 Cd 2.78-2.92, 1 Si 3.02
Pd4 0.3380 0.9648 0.7397  1 Si 2.41
Pd5 0.4119 0.8067 0.1213  3 Pd 2.70-2.92, 4 Cd 2.78-2.92, 1 Si 3.02
Pd6 0.4617 0.4617 0.2825  2 Si 2.43, 2 Pd 2.70
Pd7 0.5383 0.5383 0.7175  2 Si 2.43, 2 Pd 2.70
Pd8 0.5881 0.1933 0.8787  3 Pd 2.70-2.92, 4 Cd 2.78-2.92, 1 Si 3.02
Pd9 0.6620 0.0352 0.2603  1 Si 2.41
Pd10 0.8067 0.4119 0.1213  3 Pd 2.70-2.92, 4 Cd 2.78-2.92, 1 Si 3.02
Pd11 0.9091 0.9091 0.6196  2 Si 2.41, 1 Cd 2.68
Pd12 0.9648 0.3380 0.7397  1 Si 2.41

Properties
The raw formation energy is -0.36 eV per atom. As for the space group: C2/m (12).

Record 5
Computed, not measured: an optimized crystal structure of Sr3Ho at the PBE level of DFT.

abc: 3.7694 3.9156 12.7834
angles: 90.00 90.00 90.00
Last column: nearest neighbours and their distance in Å.
Atoms (fractional coordinates):
Sr1 0.0000 0.0000 0.0000  6 Sr 3.77-4.10
Sr2 0.0000 0.5000 0.2819  6 Sr 3.77-4.10, 4 Ho 3.85
Sr3 0.5000 0.5000 0.7433  2 Ho 3.72, 4 Sr 3.77-3.92
Ho1 0.5000 0.0000 0.4955  6 Sr 3.72-3.85, 4 Ho 3.77-3.92

Properties
As for the space group: Pmm2 (25). The polymorph energy (0 for the lowest one) is 0.31 eV per formula unit. The value obtained for the formation energy is 286 meV/atom.

Record 6
Computed, not measured: an optimized crystal structure of RbReH2S at the PBE level of DFT.

abc: 4.9008 4.9008 4.3630
angles: 90.00 90.00 90.00
Last column: nearest neighbours and their distance in Å.
Atoms (fractional coordinates):
Rb1 0.0000 0.0000 0.0000  8 H 3.28, 4 Re 3.47
Re1 0.5000 0.5000 0.0000  2 S 2.18
H1 0.0000 0.5000 0.5000  2 S 2.45
H2 0.5000 0.0000 0.5000  2 S 2.45
S1 0.5000 0.5000 0.5000  2 Re 2.18

Properties
As for the space group: P4/mmm (123).

Record 7
Computed, not measured: an optimized crystal structure of NdMnPt2 at the PBE level of DFT.

abc: 3.3925 3.3925 6.7040
angles: 90.00 90.00 90.00
Last column: nearest neighbours and their distance in Å.
Atoms (fractional coordinates):
Nd1 0.0000 0.0000 0.0000  8 Pt 3.08, 2 Mn 3.35, 4 Nd 3.39
Mn1 0.0000 0.0000 0.5000  8 Pt 2.79
Pt1 0.5000 0.5000 0.2887  4 Mn 2.79, 1 Pt 2.83, 4 Nd 3.08
Pt2 0.5000 0.5000 0.7113  4 Mn 2.79, 1 Pt 2.83, 4 Nd 3.08

Properties
As for the space group: P4/mmm (123). The value obtained for the formation energy is -622 meV/atom.

Record 8
Computed, not measured: an optimized crystal structure of Sm12Al3N5 at the PBE level of DFT.

abc: 13.7229 13.7229 13.7229
angles: 109.47 109.47 109.47
Last column: nearest neighbours and their distance in Å.
Atoms (fractional coordinates):
Sm1 0.0172 0.2009 0.1131  2 N 2.30-2.56
Sm2 0.0172 0.3163 0.9041  2 N 2.30-2.56
Sm3 0.0879 0.7009 0.6837  2 N 2.30-2.56
Sm4 0.0879 0.8869 0.4041  2 N 2.30-2.56
Sm5 0.0959 0.6131 0.4121  2 N 2.30-2.56
Sm6 0.0959 0.9828 0.6837  2 N 2.30-2.56
Sm7 0.1131 0.0172 0.2009  2 N 2.30-2.56
Sm8 0.1131 0.5959 0.9121  2 N 2.30-2.56
Sm9 0.1837 0.2009 0.5879  2 N 2.30-2.56
Sm10 0.1837 0.4828 0.5959  2 N 2.30-2.56
Sm11 0.2009 0.1131 0.0172  2 N 2.30-2.56
Sm12 0.2009 0.5879 0.1837  2 N 2.30-2.56
Sm13 0.2991 0.3163 0.9121  2 N 2.30-2.56
Sm14 0.2991 0.4828 0.3869  2 N 2.30-2.56
Sm15 0.3163 0.9041 0.0172  2 N 2.30-2.56
Sm16 0.3163 0.9121 0.2991  2 N 2.30-2.56
Sm17 0.3869 0.2991 0.4828  2 N 2.30-2.56
Sm18 0.3869 0.5879 0.9041  2 N 2.30-2.56
Sm19 0.4041 0.0879 0.8869  2 N 2.30-2.56
Sm20 0.4041 0.8163 0.5172  2 N 2.30-2.56
Sm21 0.4121 0.0959 0.6131  2 N 2.30-2.56
Sm22 0.4121 0.8163 0.7991  2 N 2.30-2.56
Sm23 0.4828 0.3869 0.2991  2 N 2.30-2.56
Sm24 0.4828 0.5959 0.1837  2 N 2.30-2.56
Sm25 0.5172 0.4041 0.8163  2 N 2.30-2.56
Sm26 0.5172 0.6131 0.7009  2 N 2.30-2.56
Sm27 0.5879 0.1837 0.2009  2 N 2.30-2.56
Sm28 0.5879 0.9041 0.3869  2 N 2.30-2.56
Sm29 0.5959 0.1837 0.4828  2 N 2.30-2.56
Sm30 0.5959 0.9121 0.1131  2 N 2.30-2.56
Sm31 0.6131 0.4121 0.0959  2 N 2.30-2.56
Sm32 0.6131 0.7009 0.5172  2 N 2.30-2.56
Sm33 0.6837 0.0879 0.7009  2 N 2.30-2.56
Sm34 0.6837 0.0959 0.9828  2 N 2.30-2.56
Sm35 0.7009 0.5172 0.6131  2 N 2.30-2.56
Sm36 0.7009 0.6837 0.0879  2 N 2.30-2.56
Sm37 0.7991 0.4121 0.8163  2 N 2.30-2.56
Sm38 0.7991 0.8869 0.9828  2 N 2.30-2.56
Sm39 0.8163 0.5172 0.4041  2 N 2.30-2.56
Sm40 0.8163 0.7991 0.4121  2 N 2.30-2.56
Sm41 0.8869 0.4041 0.0879  2 N 2.30-2.56
Sm42 0.8869 0.9828 0.7991  2 N 2.30-2.56
Sm43 0.9041 0.0172 0.3163  2 N 2.30-2.56
Sm44 0.9041 0.3869 0.5879  2 N 2.30-2.56
Sm45 0.9121 0.1131 0.5959  2 N 2.30-2.56
Sm46 0.9121 0.2991 0.3163  2 N 2.30-2.56
Sm47 0.9828 0.6837 0.0959  2 N 2.30-2.56
Sm48 0.9828 0.7991 0.8869  2 N 2.30-2.56
Al1 0.1250 0.2500 0.3750  8 Sm 3.12-3.20
Al2 0.1250 0.3750 0.7500  8 Sm 3.12-3.20
Al3 0.2500 0.3750 0.1250  8 Sm 3.12-3.20
Al4 0.2500 0.8750 0.6250  8 Sm 3.12-3.20
Al5 0.3750 0.1250 0.2500  8 Sm 3.12-3.20
Al6 0.3750 0.7500 0.1250  8 Sm 3.12-3.20
Al7 0.6250 0.2500 0.8750  8 Sm 3.12-3.20
Al8 0.6250 0.8750 0.7500  8 Sm 3.12-3.20
Al9 0.7500 0.1250 0.3750  8 Sm 3.12-3.20
Al10 0.7500 0.6250 0.8750  8 Sm 3.12-3.20
Al11 0.8750 0.6250 0.2500  8 Sm 3.12-3.20
Al12 0.8750 0.7500 0.6250  8 Sm 3.12-3.20
N1 0.0000 0.0000 0.0000  6 Sm 2.56
N2 0.0000 0.0000 0.5000  6 Sm 2.56
N3 0.0000 0.5000 0.0000  6 Sm 2.56
N4 0.0000 0.5000 0.5000  6 Sm 2.56
N5 0.1250 0.7500 0.8750  4 Sm 2.30
N6 0.1250 0.8750 0.2500  4 Sm 2.30
N7 0.2500 0.1250 0.8750  4 Sm 2.30
N8 0.2500 0.6250 0.3750  4 Sm 2.30
N9 0.3750 0.2500 0.6250  4 Sm 2.30
N10 0.3750 0.6250 0.7500  4 Sm 2.30
N11 0.5000 0.0000 0.0000  6 Sm 2.56
N12 0.5000 0.0000 0.5000  6 Sm 2.56
N13 0.5000 0.5000 0.0000  6 Sm 2.56
N14 0.5000 0.5000 0.5000  6 Sm 2.56
N15 0.6250 0.3750 0.2500  4 Sm 2.30
N16 0.6250 0.7500 0.3750  4 Sm 2.30
N17 0.7500 0.3750 0.6250  4 Sm 2.30
N18 0.7500 0.8750 0.1250  4 Sm 2.30
N19 0.8750 0.1250 0.7500  4 Sm 2.30
N20 0.8750 0.2500 0.1250  4 Sm 2.30

Properties
The raw formation energy is -0.72 eV per atom. As for the space group: Ia-3d (230).

Record 9
Computed, not measured: an optimized crystal structure of PaTi2Tc at the PBE level of DFT.

abc: 2.9929 2.9929 28.4508
angles: 90.00 90.00 120.00
Last column: nearest neighbours and their distance in Å.
Atoms (fractional coordinates):
Pa1 0.0000 0.0000 0.0000  2 Ti 2.81, 6 Pa 2.99
Pa2 0.3333 0.6667 0.6667  2 Ti 2.81, 6 Pa 2.99
Pa3 0.6667 0.3333 0.3333  2 Ti 2.81, 6 Pa 2.99
Ti1 0.0000 0.0000 0.0989  3 Tc 2.59, 1 Pa 2.81
Ti2 0.0000 0.0000 0.9011  3 Tc 2.59, 1 Pa 2.81
Ti3 0.3333 0.6667 0.5678  3 Tc 2.59, 1 Pa 2.81
Ti4 0.3333 0.6667 0.7655  3 Tc 2.59, 1 Pa 2.81
Ti5 0.6667 0.3333 0.2345  3 Tc 2.59, 1 Pa 2.81
Ti6 0.6667 0.3333 0.4322  3 Tc 2.59, 1 Pa 2.81
Tc1 0.0000 0.0000 0.5000  6 Ti 2.59
Tc2 0.3333 0.6667 0.1667  6 Ti 2.59
Tc3 0.6667 0.3333 0.8333  6 Ti 2.59

Properties
As for the space group: R-3m (166). The polymorph energy (0 for the lowest one) is 1.17 eV per formula unit. The value obtained for the formation energy is 89 meV/atom.

Record 10
Computed, not measured: an optimized crystal structure of LiY2Te4Pb at the PBE level of DFT.

abc: 7.5773 4.3879 7.8636
angles: 90.00 108.56 90.00
Last column: nearest neighbours and their distance in Å.
Atoms (fractional coordinates):
Li1 0.0000 0.0000 0.0000  6 Te 3.10-3.15
Y1 0.0000 0.5000 0.5000  6 Te 3.08-3.09
Y2 0.5000 0.0000 0.5000  6 Te 3.15-3.17
Te1 0.2380 0.0000 0.7441  3 Y 3.09-3.17, 1 Li 3.10, 2 Pb 3.20
Te2 0.2450 0.5000 0.2544  3 Y 3.08-3.15, 2 Li 3.15, 1 Pb 3.19
Te3 0.7550 0.5000 0.7456  3 Y 3.08-3.15, 2 Li 3.15, 1 Pb 3.19
Te4 0.7620 0.0000 0.2559  3 Y 3.09-3.17, 1 Li 3.10, 2 Pb 3.20
Pb1 0.5000 0.5000 0.0000  6 Te 3.19-3.20

Properties
The raw formation energy is -1.04 eV per atom. As for the space group: P2/m (10).

Total energy readings, ordered: -5.599 -5.320 -6.158 -4.455 -2.120 -3.653 -7.127 -6.195 -8.824 -4.930 eV/atom
Density readings, ordered: 11.911 4.533 7.851 9.827 3.765 4.845 12.684 6.528 9.588 6.045 g/cm³